Material: DyTl2Re3O12
Method: DFT, PBE
State: optimized geometry

```
DyTl2Re3O12
1.0
-7.183 1.815 1.682
-5.666 -5.000 -0.783
-3.560 -2.969 6.018
O Re Tl Dy
12 3 2 1
direct
0.932 0.301 0.301 O
0.068 0.699 0.699 O
0.301 0.932 0.301 O
0.301 0.301 0.932 O
0.699 0.699 0.068 O
0.924 0.924 0.358 O
0.924 0.358 0.924 O
0.358 0.924 0.924 O
0.642 0.076 0.076 O
0.076 0.076 0.642 O
0.076 0.642 0.076 O
0.699 0.068 0.699 O
0.000 0.000 0.500 Re
0.000 0.500 0.000 Re
0.500 0.000 0.000 Re
0.344 0.344 0.344 Tl
0.656 0.656 0.656 Tl
0.000 0.000 0.000 Dy
```

Results
For the total DFT energy (no corrections), the calculation gives -7.599 eV/atom. The value obtained for the uncorrected formation energy is -2953 kJ/mol of formula units.